Entry 1:
CaBiSbTe2 at its PBEsol-relaxed geometry. Source: Alexandria via LeMat-Bulk, functional SCAN.

Calculated values
The calculation puts the total energy at -199.60 eV/cell. For the density of states at the Fermi level, the calculation gives 5.849 states/eV per cell. The value obtained for the energy relative to the elements, uncorrected is 7.8 kJ/mol of atoms. The volume comes out at 193.2 Å³ per cell.

abc: 5.8167 5.8167 5.7095
angles: 90.00 90.00 90.00
Space group P4/mmm (No. 123)
Asymmetric unit:
Ca  0.0000  0.0000  0.0000 (multiplicity 1)
Bi  0.5000  0.5000  0.5000 (multiplicity 1)
Sb  0.5000  0.5000  0.0000 (multiplicity 1)
Te  0.0000  0.5000  0.5000 (multiplicity 2)



Entry 2:
CaSc2Bi at its PBEsol-relaxed geometry. Source: Alexandria via LeMat-Bulk, functional SCAN.

Calculated values
The calculation puts the formation energy from the elements at 69 meV/atom. The calculation puts the total energy at -349.33 eV/cell. For the density of states at the Fermi level, the calculation gives 9.927 states/eV per cell. The volume comes out at 381.1 Å³ per cell.

abc: 3.7787 3.7787 30.8192
angles: 90.00 90.00 120.00
Space group R-3m (No. 166, hexagonal axes)
Asymmetric unit:
Ca  0.0000  0.0000  0.0000 (multiplicity 3)
Sc  0.0000  0.0000  0.1054 (multiplicity 6)
Bi  0.0000  0.0000  0.5000 (multiplicity 3)



Entry 3:
Ca2ScSiBi at its PBEsol-relaxed geometry. Source: Alexandria via LeMat-Bulk, functional SCAN.

Calculated values
The calculation puts the total energy at -119.16 eV/cell. For the density of states at the Fermi level, the calculation gives 6.837 states/eV per cell. The value obtained for the energy relative to the elements, uncorrected is 57.8 kJ/mol of atoms. The volume comes out at 181.9 Å³ per cell.

abc: 5.7469 5.7469 5.5070
angles: 90.00 90.00 90.00
Space group P4/mmm (No. 123)
Asymmetric unit:
Ca  0.0000  0.5000  0.0000 (multiplicity 2)
Sc  0.0000  0.0000  0.5000 (multiplicity 1)
Si  0.5000  0.5000  0.5000 (multiplicity 1)
Bi  0.5000  0.5000  0.0000 (multiplicity 1)



Entry 4:
SrCaSc2Bi at its PBEsol-relaxed geometry. Source: Alexandria via LeMat-Bulk, functional SCAN.

Calculated values
The calculation puts the formation energy from the elements at 794 meV/atom. The calculation puts the total energy at -135.02 eV/cell. For the density of states at the Fermi level, the calculation gives 5.387 states/eV per cell. The volume comes out at 167.5 Å³ per cell.

abc: 5.3003 5.3003 5.9615
angles: 90.00 90.00 90.00
Space group P4/mmm (No. 123)
Asymmetric unit:
Sr  0.0000  0.0000  0.0000 (multiplicity 1)
Ca  0.5000  0.5000  0.5000 (multiplicity 1)
Sc  0.0000  0.5000  0.0000 (multiplicity 2)
Bi  0.0000  0.0000  0.5000 (multiplicity 1)



Entry 5:
CaSi3Bi at its PBEsol-relaxed geometry. Source: Alexandria via LeMat-Bulk, functional SCAN.

Calculated values
The calculation puts the total energy at -110.65 eV/cell. For the density of states at the Fermi level, the calculation gives 3.591 states/eV per cell. The value obtained for the energy relative to the elements, uncorrected is 147.5 kJ/mol of atoms. The volume comes out at 136.0 Å³ per cell.

abc: 5.1425 5.1425 5.1425
angles: 90.00 90.00 90.00
Space group Pm-3m (No. 221)
Asymmetric unit:
Ca  0.0000  0.0000  0.0000 (multiplicity 1)
Si  0.0000  0.0000  0.5000 (multiplicity 3)
Bi  0.5000  0.5000  0.5000 (multiplicity 1)



Entry 6:
CaSi2Bi at its PBEsol-relaxed geometry. Source: Alexandria via LeMat-Bulk, functional SCAN.

Calculated values
The calculation puts the total energy at -427.93 eV/cell. For the density of states at the Fermi level, the calculation gives 8.176 states/eV per cell. The value obtained for the energy relative to the elements, uncorrected is 31.2 kJ/mol of atoms. The volume comes out at 369.2 Å³ per cell.

abc: 7.1736 7.1736 7.1736
angles: 90.00 90.00 90.00
Space group Fm-3m (No. 225)
Asymmetric unit:
Ca  0.0000  0.0000  0.0000 (multiplicity 4)
Si  0.2500  0.2500  0.2500 (multiplicity 8)
Bi  0.0000  0.0000  0.5000 (multiplicity 4)



Entry 7:
Ca2Si2Bi at its PBEsol-relaxed geometry. Source: Alexandria via LeMat-Bulk, functional SCAN.

Calculated values
The calculation puts the total energy at -240.47 eV/cell. For the density of states at the Fermi level, the calculation gives 2.458 states/eV per cell. The value obtained for the energy relative to the elements, uncorrected is -44.3 kJ/mol of atoms. The volume comes out at 241.3 Å³ per cell.

abc: 7.4588 7.4588 4.3369
angles: 90.00 90.00 90.00
Space group P4/mbm (No. 127)
Asymmetric unit:
Ca  0.1777  0.3223  0.0000 (multiplicity 4)
Si  0.1114  0.6114  0.5000 (multiplicity 4)
Bi  0.0000  0.0000  0.5000 (multiplicity 2)



Entry 8:
SrCaBi2 at its PBEsol-relaxed geometry. Source: Alexandria via LeMat-Bulk, functional SCAN.

Calculated values
The calculation puts the offset from the most stable computed form at 0.0000 eV per atom. The calculation puts the formation energy from the elements at -803 meV/atom. The calculation puts the total energy at -769.24 eV/cell. For the density of states at the Fermi level, the calculation gives 9.561 states/eV per cell. The volume comes out at 514.1 Å³ per cell.

abc: 8.0109 8.0109 8.0109
angles: 90.00 90.00 90.00
Space group Fm-3m (No. 225)
Asymmetric unit:
Sr  0.0000  0.0000  0.0000 (multiplicity 4)
Ca  0.0000  0.0000  0.5000 (multiplicity 4)
Bi  0.2500  0.2500  0.2500 (multiplicity 8)



Let's list total moment in order: 0.0 0.1 1.1 0.0 0.9 0.0 0.0 0.0 μB/f.u..